Compound: LaNi3W
Source: Alexandria via LeMat-Bulk
Functional: PBE
Structure: relaxed

Cell: 4.5460 4.5460 4.5460 Å, 90.00 90.00 90.00°
Positions (direct):
1 Ni 0.0000 0.5000 0.0000
2 Ni 0.0000 0.0000 0.5000
3 Ni 0.5000 0.0000 0.0000
4 W 0.5000 0.5000 0.5000
5 La 0.0000 0.0000 0.0000

Its energy above the most stable polymorph in this dataset is 131.2 kJ per mole of atoms. The total magnetic moment is 0.00 μB per cell. For the raw total energy, the calculation gives -5.222 eV per atom. The density of states at the Fermi level comes out at 11.15 states/eV per cell. For the energy of formation from the pure elements, the calculation gives 176 kJ per mole of atoms.

Compound: La2Ni2W
Source: Alexandria via LeMat-Bulk
Functional: PBE
Structure: relaxed

Cell: 7.9863 7.9863 3.2020 Å, 90.00 90.00 90.00°
Positions (direct):
1 Ni 0.1686 0.6686 0.5000
2 Ni 0.6686 0.8314 0.5000
3 Ni 0.8314 0.3314 0.5000
4 Ni 0.3314 0.1686 0.5000
5 W 0.0000 0.0000 0.0000
6 W 0.5000 0.5000 0.0000
7 La 0.3551 0.8551 0.0000
8 La 0.8551 0.6449 0.0000
9 La 0.6449 0.1449 0.0000
10 La 0.1449 0.3551 0.0000

Its energy above the most stable polymorph in this dataset is 41.0 kJ per mole of atoms. The total magnetic moment is 1.57 μB per cell. For the raw total energy, the calculation gives -6.257 eV per atom. The density of states at the Fermi level comes out at 8.72 states/eV per cell. For the energy of formation from the pure elements, the calculation gives 60 kJ per mole of atoms.

Compound: LaNiW3
Source: Alexandria via LeMat-Bulk
Functional: PBE
Structure: relaxed

Cell: 4.6726 4.6726 4.6726 Å, 90.00 90.00 90.00°
Positions (direct):
1 Ni 0.0000 0.0000 0.0000
2 W 0.0000 0.5000 0.0000
3 W 0.0000 0.0000 0.5000
4 W 0.5000 0.0000 0.0000
5 La 0.5000 0.5000 0.5000

Its energy above the most stable polymorph in this dataset is 0.0 kJ per mole of atoms. The total magnetic moment is 0.00 μB per cell. For the raw total energy, the calculation gives -8.559 eV per atom. The density of states at the Fermi level comes out at 9.26 states/eV per cell. For the energy of formation from the pure elements, the calculation gives 131 kJ per mole of atoms.

Compound: La3NiW
Source: Alexandria via LeMat-Bulk
Functional: PBE
Structure: relaxed

Cell: 5.5163 5.5163 5.5163 Å, 90.00 90.00 90.00°
Positions (direct):
1 Ni 0.5000 0.5000 0.5000
2 W 0.0000 0.0000 0.0000
3 La 0.0000 0.5000 0.0000
4 La 0.0000 0.0000 0.5000
5 La 0.5000 0.0000 0.0000

Its energy above the most stable polymorph in this dataset is 0.0 kJ per mole of atoms. The total magnetic moment is 0.00 μB per cell. For the raw total energy, the calculation gives -5.977 eV per atom. The density of states at the Fermi level comes out at 5.76 states/eV per cell. For the energy of formation from the pure elements, the calculation gives 70 kJ per mole of atoms.